PrTm2UAs4: relaxed, PBE-GGA.

The structure belongs to space group P2/m (No. 10); the cell edges are 7.146, 4.118 and 7.156 Å and the angles 90.00°, 109.22° and 90.00°. The inequivalent atoms are Pr at (0.000, 0.000, 0.000), Tm at (0.500, 0.000, 0.500), Tm at (0.500, 0.500, 0.000), U at (0.000, 0.500, 0.500), As at (0.256, 0.000, 0.745) and As at (0.259, 0.500, 0.262).

For the energy relative to the elements, the calculation gives -1.290 eV/atom. For the density of states at the Fermi level, the calculation gives 7.894 states/eV/f.u.